(1)
First-principles (PBE-GGA) data for crystalline RbRhPbF6 at its relaxed geometry, as listed in Alexandria via LeMat-Bulk.

SG	Imma (74)
uncorrected energy	-42.48	eV per formula unit
V	18.23	A^3/atom
uncorrected formation energy	-19.2	eV/f.u.

Cell and atoms, written as POSCAR:
```
RbRhPbF6
1.0
-3.786 4.092 5.297
3.786 -4.092 5.297
3.786 4.092 -5.297
Rb Rh Pb F
2 2 2 12
Cartesian
0.000 2.046 1.031
3.786 2.046 4.267
1.893 2.046 -2.649
1.893 -2.046 2.649
3.786 0.000 0.000
0.000 0.000 5.297
1.614 -0.632 1.251
5.957 -0.632 1.251
3.786 2.046 -1.945
1.614 3.459 -1.251
2.171 -0.632 4.047
3.786 2.046 1.309
0.000 2.046 3.988
1.614 4.724 1.251
2.171 0.632 6.548
0.000 2.046 7.242
-2.171 4.724 4.047
2.171 4.724 4.047
```

=====

(2)
First-principles (PBE-GGA) data for crystalline Rb2RuPbF6 at its relaxed geometry, as listed in Alexandria via LeMat-Bulk.

SG	Fm-3m (225)
uncorrected energy	-47.27	eV per formula unit
V	18.69	A^3/atom
density of states at the Fermi level	0.00	states/eV/cell
uncorrected formation energy	-21.1	eV/f.u.

Cell and atoms, written as POSCAR:
```
Rb2RuPbF6
1.0
0.000 4.538 4.538
4.538 0.000 4.538
4.538 4.538 0.000
Rb Ru Pb F
2 1 1 6
Cartesian
2.269 2.269 2.269
6.807 6.807 6.807
0.000 0.000 0.000
4.538 4.538 4.538
4.538 4.538 2.126
4.538 2.126 4.538
6.950 4.538 4.538
2.126 4.538 4.538
4.538 6.950 4.538
4.538 4.538 6.950
```

=====

(3)
First-principles (PBE-GGA) data for crystalline Rb2PbSF6 at its relaxed geometry, as listed in Alexandria via LeMat-Bulk.

SG	I4/mmm (139)
uncorrected energy	-41.54	eV per formula unit
V	21.96	A^3/atom
density of states at the Fermi level	0.00	states/eV/cell
uncorrected formation energy	-20.5	eV/f.u.

Cell and atoms, written as POSCAR:
```
Rb2PbSF6
1.0
-3.074 3.074 5.810
3.074 -3.074 5.810
3.074 3.074 -5.810
Rb Pb S F
2 1 1 6
Cartesian
3.074 0.000 2.905
0.000 3.074 2.905
0.000 0.000 0.000
0.000 0.000 5.810
0.000 0.000 2.376
1.715 1.715 0.000
1.359 -1.359 5.810
-1.359 1.359 5.810
1.359 1.359 5.810
0.000 0.000 9.244
```

=====

(4)
First-principles (PBE-GGA) data for crystalline RbPbSF at its relaxed geometry, as listed in Alexandria via LeMat-Bulk.

SG	P6_3mc (186)
uncorrected energy	-16.73	eV per formula unit
V	30.78	A^3/atom
density of states at the Fermi level	0.00	states/eV/cell
uncorrected formation energy	-6.1	eV/f.u.

Cell and atoms, written as POSCAR:
```
RbPbSF
1.0
4.343 0.000 0.000
-2.172 3.762 0.000
0.000 0.000 15.073
Rb Pb S F
2 2 2 2
Cartesian
0.000 2.508 0.000
2.172 1.254 7.537
0.000 0.000 3.728
0.000 0.000 11.264
0.000 2.508 5.049
2.172 1.254 12.586
0.000 0.000 1.212
0.000 0.000 8.749
```

=====

(5)
First-principles (PBE-GGA) data for crystalline RbSbPbF6 at its relaxed geometry, as listed in Alexandria via LeMat-Bulk.

SG	P3 (143)
uncorrected energy	-42.43	eV per formula unit
V	18.55	A^3/atom
density of states at the Fermi level	0.00	states/eV/cell
uncorrected formation energy	-22.4	eV/f.u.

Cell and atoms, written as POSCAR:
```
RbSbPbF6
1.0
6.658 0.000 0.000
-3.329 5.766 0.000
0.000 0.000 4.350
Rb Sb Pb F
1 1 1 6
Cartesian
0.000 0.000 0.000
3.329 1.922 1.537
0.000 3.844 2.533
-1.759 3.722 1.031
0.985 2.382 1.031
2.328 0.681 2.815
0.774 5.428 1.031
2.755 3.410 2.815
4.904 1.675 2.815
```

=====

(6)
First-principles (PBE-GGA) data for crystalline RbSbPbF2 at its relaxed geometry, as listed in Alexandria via LeMat-Bulk.

SG	P4/mmm (123)
uncorrected energy	-15.98	eV per formula unit
V	30.21	A^3/atom
density of states at the Fermi level	4.31	states/eV/cell
uncorrected formation energy	-3.4	eV/f.u.

Cell and atoms, written as POSCAR:
```
RbSbPbF2
1.0
4.879 0.000 0.000
0.000 4.879 0.000
0.000 0.000 6.347
Rb Sb Pb F
1 1 1 2
Cartesian
0.000 0.000 0.000
2.439 2.439 3.173
0.000 0.000 3.173
0.000 2.439 0.000
2.439 0.000 0.000
```

=====

(7)
First-principles (PBE-GGA) data for crystalline Rb2ScPbF6 at its relaxed geometry, as listed in Alexandria via LeMat-Bulk.

SG	Pmmn (59)
uncorrected energy	-52.46	eV per formula unit
V	20.80	A^3/atom
density of states at the Fermi level	0.14	states/eV/cell
uncorrected formation energy	-29.3	eV/f.u.
energy above the most stable polymorph in this dataset	0.0	meV/atom

Cell and atoms, written as POSCAR:
```
Rb2ScPbF6
1.0
6.151 0.000 0.000
0.000 8.830 0.000
0.000 0.000 7.659
Rb Sc Pb F
4 2 2 12
Cartesian
1.538 0.103 1.421
1.538 4.312 1.421
4.613 4.518 6.238
4.613 8.727 6.238
1.538 6.623 6.004
4.613 2.208 1.654
1.538 2.208 5.297
4.613 6.623 2.361
0.012 2.208 2.950
0.129 6.623 7.501
1.538 4.560 6.080
1.538 8.685 6.080
2.946 6.623 7.501
3.064 2.208 2.950
3.087 6.623 4.709
3.204 2.208 0.158
4.613 0.145 1.579
4.613 4.270 1.579
6.022 2.208 0.158
6.139 6.623 4.709
```

=====

(8)
First-principles (PBE-GGA) data for crystalline RbScPbF6 at its relaxed geometry, as listed in Alexandria via LeMat-Bulk.

SG	Imma (74)
uncorrected energy	-50.88	eV per formula unit
V	19.00	A^3/atom
density of states at the Fermi level	0.00	states/eV/cell
uncorrected formation energy	-28.6	eV/f.u.

Cell and atoms, written as POSCAR:
```
RbScPbF6
1.0
-3.940 4.027 5.388
3.940 -4.027 5.388
3.940 4.027 -5.388
Rb Sc Pb F
2 2 2 12
Cartesian
0.000 2.014 1.058
3.940 2.014 4.330
1.970 2.014 -2.694
1.970 -2.014 2.694
3.940 0.000 0.000
0.000 0.000 5.388
1.742 -0.596 1.280
6.138 -0.596 1.280
3.940 2.014 -2.105
1.742 3.431 -1.280
2.198 -0.596 4.108
3.940 2.014 1.335
0.000 2.014 4.053
1.742 4.624 1.280
2.198 0.596 6.668
0.000 2.014 7.494
-2.198 4.624 4.108
2.198 4.624 4.108
```

=====

(9)
First-principles (PBE-GGA) data for crystalline Rb2ScPbF6 at its relaxed geometry, as listed in Alexandria via LeMat-Bulk.

SG	I4/mmm (139)
uncorrected energy	-52.40	eV per formula unit
V	21.87	A^3/atom
density of states at the Fermi level	0.00	states/eV/cell
uncorrected formation energy	-29.2	eV/f.u.
energy above the most stable polymorph in this dataset	5.6	meV/atom

Cell and atoms, written as POSCAR:
```
Rb2ScPbF6
1.0
-3.181 3.181 5.402
3.181 -3.181 5.402
3.181 3.181 -5.402
Rb Sc Pb F
2 1 1 6
Cartesian
3.181 0.000 2.701
0.000 3.181 2.701
0.000 0.000 0.000
0.000 0.000 5.402
0.000 0.000 2.021
1.443 1.443 0.000
1.738 -1.738 5.402
-1.738 1.738 5.402
1.738 1.738 5.402
0.000 0.000 8.783
```

=====

(10)
First-principles (PBE-GGA) data for crystalline Rb2PbSeF6 at its relaxed geometry, as listed in Alexandria via LeMat-Bulk.

SG	I4/mmm (139)
uncorrected energy	-41.69	eV per formula unit
V	23.04	A^3/atom
density of states at the Fermi level	0.00	states/eV/cell
uncorrected formation energy	-21.3	eV/f.u.

Cell and atoms, written as POSCAR:
```
Rb2PbSeF6
1.0
-3.141 3.141 5.837
3.141 -3.141 5.837
3.141 3.141 -5.837
Rb Pb Se F
2 1 1 6
Cartesian
3.141 0.000 2.919
0.000 3.141 2.919
0.000 0.000 0.000
0.000 0.000 5.837
0.000 0.000 2.378
1.713 1.713 0.000
1.429 -1.429 5.837
-1.429 1.429 5.837
1.429 1.429 5.837
0.000 0.000 9.297
```

=====

(11)
First-principles (PBE-GGA) data for crystalline RbPbSeF at its relaxed geometry, as listed in Alexandria via LeMat-Bulk.

SG	R-3m (166)
uncorrected energy	-16.19	eV per formula unit
V	31.23	A^3/atom
density of states at the Fermi level	0.00	states/eV/cell
uncorrected formation energy	-6.2	eV/f.u.

Cell and atoms, written as POSCAR:
```
RbPbSeF
1.0
2.580 1.489 10.840
-2.580 1.489 10.840
0.000 -2.979 10.840
Rb Pb Se F
2 2 2 2
Cartesian
0.000 0.000 4.052
0.000 0.000 28.468
0.000 0.000 9.364
0.000 0.000 23.156
0.000 0.000 12.486
0.000 0.000 20.034
0.000 0.000 6.802
0.000 0.000 25.718
```

=====

(12)
First-principles (PBE-GGA) data for crystalline RbSi2PbF at its relaxed geometry, as listed in Alexandria via LeMat-Bulk.

SG	P4/mmm (123)
uncorrected energy	-9.47	eV per formula unit
V	46.09	A^3/atom
density of states at the Fermi level	4.72	states/eV/cell
uncorrected formation energy	7.9	eV/f.u.

Cell and atoms, written as POSCAR:
```
RbSi2PbF
1.0
5.787 0.000 0.000
0.000 5.787 0.000
0.000 0.000 6.881
Rb Si Pb F
1 2 1 1
Cartesian
0.000 0.000 0.000
0.000 2.894 0.000
2.894 0.000 0.000
0.000 0.000 3.440
2.894 2.894 3.440
```

=====

(13)
First-principles (PBE-GGA) data for crystalline Rb2SiPbF6 at its relaxed geometry, as listed in Alexandria via LeMat-Bulk.

SG	Fm-3m (225)
uncorrected energy	-45.86	eV per formula unit
V	19.54	A^3/atom
density of states at the Fermi level	0.00	states/eV/cell
uncorrected formation energy	-23.6	eV/f.u.

Cell and atoms, written as POSCAR:
```
Rb2SiPbF6
1.0
0.000 4.605 4.605
4.605 0.000 4.605
4.605 4.605 0.000
Rb Si Pb F
2 1 1 6
Cartesian
2.303 2.303 2.303
6.908 6.908 6.908
0.000 0.000 0.000
4.605 4.605 4.605
4.605 4.605 2.151
4.605 2.151 4.605
7.060 4.605 4.605
2.151 4.605 4.605
4.605 7.060 4.605
4.605 4.605 7.060
```

=====

(14)
First-principles (PBE-GGA) data for crystalline Rb2SnPbF6 at its relaxed geometry, as listed in Alexandria via LeMat-Bulk.

SG	P1 (1)
uncorrected energy	-45.98	eV per formula unit
V	21.51	A^3/atom
density of states at the Fermi level	0.00	states/eV/cell
uncorrected formation energy	-25.1	eV/f.u.

Cell and atoms, written as POSCAR:
```
Rb2SnPbF6
1.0
6.545 0.000 0.000
2.920 5.866 0.000
2.906 1.810 5.602
Rb Sn Pb F
2 1 1 6
Cartesian
0.000 0.000 0.000
6.176 3.839 2.801
9.197 5.709 4.160
3.007 1.868 1.358
4.615 4.150 5.128
5.773 5.571 0.617
7.326 6.533 3.373
7.919 4.258 5.179
7.545 1.417 2.363
9.105 4.333 2.463
```

=====

(15)
First-principles (PBE-GGA) data for crystalline RbSrPb2F at its relaxed geometry, as listed in Alexandria via LeMat-Bulk.

SG	P4/mmm (123)
uncorrected energy	-15.88	eV per formula unit
V	31.68	A^3/atom
density of states at the Fermi level	3.37	states/eV/cell
uncorrected formation energy	-3.9	eV/f.u.

Cell and atoms, written as POSCAR:
```
RbSrPb2F
1.0
5.470 0.000 0.000
0.000 5.470 0.000
0.000 0.000 5.293
Rb Sr Pb F
1 1 2 1
Cartesian
0.000 0.000 0.000
2.735 2.735 0.000
0.000 2.735 2.647
2.735 0.000 2.647
0.000 0.000 2.647
```

=====

(16)
First-principles (PBE-GGA) data for crystalline Rb2SrPbF6 at its relaxed geometry, as listed in Alexandria via LeMat-Bulk.

SG	Fm-3m (225)
uncorrected energy	-47.96	eV per formula unit
V	22.44	A^3/atom
density of states at the Fermi level	0.00	states/eV/cell
uncorrected formation energy	-29.4	eV/f.u.

Cell and atoms, written as POSCAR:
```
Rb2SrPbF6
1.0
0.000 4.823 4.823
4.823 0.000 4.823
4.823 4.823 0.000
Rb Sr Pb F
2 1 1 6
Cartesian
2.411 2.411 2.411
7.234 7.234 7.234
0.000 0.000 0.000
4.823 4.823 4.823
4.823 4.823 2.389
4.823 2.389 4.823
7.256 4.823 4.823
2.389 4.823 4.823
4.823 7.256 4.823
4.823 4.823 7.256
```

=====

(17)
First-principles (PBE-GGA) data for crystalline RbTbPbF6 at its relaxed geometry, as listed in Alexandria via LeMat-Bulk.

SG	Imma (74)
uncorrected energy	-49.20	eV per formula unit
V	20.90	A^3/atom
density of states at the Fermi level	0.00	states/eV/cell
uncorrected formation energy	-28.7	eV/f.u.

Cell and atoms, written as POSCAR:
```
RbTbPbF6
1.0
-4.005 4.099 5.727
4.005 -4.099 5.727
4.005 4.099 -5.727
Rb Tb Pb F
2 2 2 12
Cartesian
0.000 2.050 1.647
4.005 2.050 4.081
4.005 0.000 0.000
0.000 0.000 5.727
2.003 2.050 -2.864
2.003 -2.050 2.864
4.005 -2.050 4.202
2.461 0.222 1.525
5.550 0.222 1.525
4.005 2.050 -0.818
2.461 4.321 -1.525
1.544 0.222 4.202
2.461 3.877 1.525
1.544 -0.222 7.253
0.000 2.050 6.545
-1.544 3.877 4.202
1.544 3.877 4.202
0.000 6.149 1.526
```

=====

(18)
First-principles (PBE-GGA) data for crystalline RbTbPb2F8 at its relaxed geometry, as listed in Alexandria via LeMat-Bulk.

SG	Pmmm (47)
uncorrected energy	-64.37	eV per formula unit
V	17.58	A^3/atom
density of states at the Fermi level	0.00	states/eV/cell
uncorrected formation energy	-36.4	eV/f.u.

Cell and atoms, written as POSCAR:
```
RbTbPb2F8
1.0
4.143 0.000 0.000
0.000 6.084 0.000
0.000 0.000 8.368
Rb Tb Pb F
1 1 2 8
Cartesian
0.000 0.000 0.000
0.000 0.000 4.184
2.072 3.042 2.054
2.072 3.042 6.314
0.000 1.483 2.441
0.000 1.483 5.927
0.000 4.602 2.441
0.000 4.602 5.927
2.072 1.237 4.184
2.072 1.744 0.000
2.072 4.341 0.000
2.072 4.848 4.184
```

=====

(19)
First-principles (PBE-GGA) data for crystalline RbTePbF2 at its relaxed geometry, as listed in Alexandria via LeMat-Bulk.

SG	P4/mmm (123)
uncorrected energy	-15.94	eV per formula unit
V	28.72	A^3/atom
density of states at the Fermi level	3.13	states/eV/cell
uncorrected formation energy	-4.4	eV/f.u.

Cell and atoms, written as POSCAR:
```
RbTePbF2
1.0
4.888 0.000 0.000
0.000 4.888 0.000
0.000 0.000 6.010
Rb Te Pb F
1 1 1 2
Cartesian
0.000 0.000 0.000
2.444 2.444 3.005
2.444 2.444 0.000
0.000 2.444 3.005
2.444 0.000 3.005
```

=====

(20)
First-principles (PBE-GGA) data for crystalline Rb2TePbF6 at its relaxed geometry, as listed in Alexandria via LeMat-Bulk.

SG	I4/mmm (139)
uncorrected energy	-42.08	eV per formula unit
V	25.06	A^3/atom
density of states at the Fermi level	0.00	states/eV/cell
uncorrected formation energy	-22.1	eV/f.u.

Cell and atoms, written as POSCAR:
```
Rb2TePbF6
1.0
-3.235 3.235 5.987
3.235 -3.235 5.987
3.235 3.235 -5.987
Rb Te Pb F
2 1 1 6
Cartesian
3.235 0.000 2.994
0.000 3.235 2.994
0.000 0.000 0.000
0.000 0.000 5.987
1.518 1.518 0.000
1.717 -1.717 5.987
0.000 0.000 3.605
0.000 0.000 8.370
-1.717 1.717 5.987
1.717 1.717 5.987
```

=====

(21)
First-principles (PBE-GGA) data for crystalline Rb2TiPbF6 at its relaxed geometry, as listed in Alexandria via LeMat-Bulk.

SG	I4/mmm (139)
uncorrected energy	-51.49	eV per formula unit
V	21.32	A^3/atom
density of states at the Fermi level	4.06	states/eV/cell
uncorrected formation energy	-26.7	eV/f.u.

Cell and atoms, written as POSCAR:
```
Rb2TiPbF6
1.0
-3.163 3.163 5.326
3.163 -3.163 5.326
3.163 3.163 -5.326
Rb Ti Pb F
2 1 1 6
Cartesian
3.163 0.000 2.663
0.000 3.163 2.663
0.000 0.000 0.000
0.000 0.000 5.326
0.000 0.000 1.927
1.420 1.420 0.000
1.743 -1.743 5.326
-1.743 1.743 5.326
1.743 1.743 5.326
0.000 0.000 8.724
```

=====

(22)
First-principles (PBE-GGA) data for crystalline RbTlPbF4 at its relaxed geometry, as listed in Alexandria via LeMat-Bulk.

SG	I4mm (107)
uncorrected energy	-30.28	eV per formula unit
V	22.66	A^3/atom
density of states at the Fermi level	0.00	states/eV/cell
uncorrected formation energy	-15.7	eV/f.u.

Cell and atoms, written as POSCAR:
```
RbTlPbF4
1.0
-2.159 2.159 8.511
2.159 -2.159 8.511
2.159 2.159 -8.511
Rb Tl Pb F
1 1 1 4
Cartesian
0.000 0.000 0.000
0.000 0.000 11.449
0.000 0.000 5.555
0.000 0.000 2.995
2.159 0.000 6.498
0.000 0.000 9.164
0.000 2.159 6.498
```